1.
VASP calculation (PBE-GGA) on crystalline HfAgH2 at its relaxed geometry.

The value obtained for the polymorph energy (0 for the lowest one) is 218 meV/atom. The spin magnetization comes out at 0.00 μB per atom. For the density of states at the Fermi level, the calculation gives 5.24 states/eV per cell.

The space group is Fm-3m (No. 225) and the conventional cell measures 5.610, 5.610 and 5.610 Å, with angles of 90.00, 90.00 and 90.00 degrees. The asymmetric unit holds Hf at (0.000, 0.000, 0.000), Ag at (0.000, 0.000, 0.500) and H at (0.250, 0.250, 0.250).



2.
VASP calculation (PBE-GGA) on crystalline Dy3Cu3Sn4 at its relaxed geometry.

The calculation puts the energy of formation from the pure elements at -0.498 eV per atom. The spin magnetization comes out at 0.00 μB per atom. For the density of states at the Fermi level, the calculation gives 22.64 states/eV per cell.

The space group is I-43d (No. 220) and the conventional cell measures 9.613, 9.613 and 9.613 Å, with angles of 90.00, 90.00 and 90.00 degrees. The asymmetric unit holds Dy at (0.000, 0.250, 0.375), Cu at (0.000, 0.250, 0.875) and Sn at (0.078, 0.078, 0.078).